A plane-wave DFT calculation with PBE was carried out for an optimized crystal structure of Tb5Te2Ru2.

a b c (Å): 15.7648 7.8027 7.7401
angles (deg): 90.00 90.00 90.00
With the nearest neighbours (Å) after each atom.
Space group Cmce (No. 64)
Symmetry-distinct sites (fractional):
Tb1 0.0000 0.0000 0.0000 x4  4 Ru 3.01-3.02, 2 Te 3.31
Tb2 0.1165 0.1614 0.3414 x16  3 Ru 2.89-2.98
Te1 0.2101 0.0000 0.0000 x8  7 Tb 3.25-3.31
Ru1 0.0000 0.1384 0.6359 x8  8 Tb 2.89-3.02, 1 Ru 3.01

Properties
ΔE_f (raw): -799 meV/atom
DOS at the Fermi energy: 0.510 states/eV/atom